Below is a relaxed K3FeF7 crystal, with properties calculated at the PBE+U level.

**Size of the total moment**: 5.9 μB/cell
**Symmetry**: Cm (8)
**E**: -4.455 eV/atom
**V**: 186.61 Å³/cell

Lattice parameters (Å, degrees): 6.382 6.382 6.051 116.64 116.64 93.07
Fractional positions:
K  0.000  0.000  0.000
K  0.224  0.692  0.463
K  0.692  0.224  0.463
Fe  0.523  0.523  0.024
F  0.150  0.363  0.602
F  0.340  0.768  0.069
F  0.358  0.358  0.130
F  0.363  0.150  0.602
F  0.643  0.643  0.846
F  0.768  0.340  0.069
F  0.784  0.784  0.424